# 1
A relaxed structure of LiAgHg3, computed with GGA-PBE.

abc: 5.133 5.458 8.503
angles: 90.05 90.36 112.20
Space group P-1 (No. 2)
One atom of each set of equivalent atoms:
1 Li 0.246 0.497 0.276 [2 per cell]
2 Ag 0.250 0.501 0.926 [2 per cell]
3 Hg 0.135 0.204 0.625 [2 per cell]
4 Hg 0.251 0.000 0.092 [2 per cell]
5 Hg 0.366 0.786 0.619 [2 per cell]

Values from the calculation:
Formation energy from the elements ... -0.5 eV/f.u.
Total energy ... -12.3 eV per cell
Size of the total moment ... 0.00 μB per cell



# 2
A relaxed structure of YScSe3, computed with GGA-PBE.

abc: 7.2182 7.2182 9.7886
angles: 90.00 90.00 120.00
Space group R3m (No. 160, hexagonal axes)
One atom of each set of equivalent atoms:
1 Y 0.0000 0.0000 0.0000 [3 per cell]
2 Sc 0.0000 0.0000 0.3655 [3 per cell]
3 Se 0.0050 0.5025 0.8569 [9 per cell]

Values from the calculation:
Formation energy from raw total energies ... -137.4 kJ per mole of atoms
Total energy ... -91.1 eV per cell
Size of the total moment ... 0.00 μB per cell



# 3
A relaxed structure of Ce2Pa2CoGe4, computed with GGA-PBE.

abc: 7.017 7.017 7.836
angles: 90.00 90.00 90.00
Space group I4/mmm (No. 139)
One atom of each set of equivalent atoms:
1 Ce 0.000 0.000 0.193 [4 per cell]
2 Pa 0.000 0.500 0.250 [4 per cell]
3 Co 0.000 0.000 0.500 [2 per cell]
4 Ge 0.238 0.238 0.500 [8 per cell]

Values from the calculation:
Formation energy from the elements ... -2.8 eV/f.u.
Total energy ... -118.5 eV per cell
Size of the total moment ... 5.36 μB per cell